VASP calculation (PBE-GGA) on a geometry-optimized InWBr3 structure.

abc: 5.407 5.407 5.407
angles: 90.00 90.00 90.00
Element x y z (fractional)
In 0.000 0.000 0.000
W 0.500 0.500 0.500
Br 0.000 0.500 0.500
Br 0.500 0.000 0.500
Br 0.500 0.500 0.000

Properties
- Space-group type: Pm-3m
- Excess energy over the best structure of this formula in the dataset: 0.000 eV/atom
- Electronic total energy: -3.997 eV per atom

VASP calculation (PBE-GGA) on a geometry-optimized PuAlCl structure.

abc: 10.619 10.619 10.619
angles: 23.24 23.24 23.24
Element x y z (fractional)
Pu 0.069 0.069 0.069
Pu 0.931 0.931 0.931
Al 0.338 0.338 0.338
Al 0.662 0.662 0.662
Cl 0.217 0.217 0.217
Cl 0.783 0.783 0.783

Properties
- Space-group type: R-3m
- Electronic total energy: -7.533 eV per atom

Formation energy (no corrections) for the records above, in order: 70; -258 kJ/mol of formula units
Size of the total moment for the records above, in order: 4.000; 11.474 Bohr magnetons per cell